Record 1
{"formula": "CaHoMg", "functional": "PBE", "state": "relaxed", "dft_energy_ev_per_cell": -7.89, "space_group": "P3m1, No. 156", "dos_at_fermi_per_ev_cell": 2.92, "lattice": [[5.6212, 0.0000, 0.0000], [-2.8106, 4.8681, 0.0000], [0.0000, 0.0000, 3.3946]], "species": ["Ca", "Ho", "Mg"], "frac_coords": [[0.0000, 0.0000, 0.0000], [0.6667, 0.3333, 0.6112], [0.3333, 0.6667, 0.2498]]}


Record 2
{"formula": "CaHo3Mg4", "functional": "PBE", "state": "relaxed", "dft_energy_ev_per_cell": -22.67, "space_group": "Pmmm, No. 47", "dos_at_fermi_per_ev_cell": 8.88, "lattice": [[3.7640, 0.0000, 0.0000], [0.0000, 5.4414, 0.0000], [0.0000, 0.0000, 10.8797]], "species": ["Ca", "Ho", "Ho", "Ho", "Mg", "Mg", "Mg", "Mg"], "frac_coords": [[0.0000, 0.0000, 0.0000], [0.0000, 0.0000, 0.5000], [0.0000, 0.5000, 0.2554], [0.0000, 0.5000, 0.7446], [0.5000, 0.0000, 0.2563], [0.5000, 0.0000, 0.7437], [0.5000, 0.5000, 0.0000], [0.5000, 0.5000, 0.5000]]}


Record 3
{"formula": "CaHoMg", "functional": "PBE", "state": "relaxed", "dft_energy_ev_per_cell": -8.12, "space_group": "I4mm, No. 107", "dos_at_fermi_per_ev_cell": 4.01, "lattice": [[-1.8620, 1.8620, 6.7870], [1.8620, -1.8620, 6.7870], [1.8620, 1.8620, -6.7870]], "species": ["Ca", "Ho", "Mg"], "frac_coords": [[0.0000, 0.0000, 0.0000], [0.3015, 0.3015, 0.0000], [0.6596, 0.6596, 0.0000]]}


Record 4
{"formula": "Ca2HoMg3", "functional": "PBE", "state": "relaxed", "dft_energy_ev_per_cell": -13.78, "space_group": "P4/mmm, No. 123", "dos_at_fermi_per_ev_cell": 7.11, "lattice": [[3.8185, 0.0000, 0.0000], [0.0000, 3.8185, 0.0000], [0.0000, 0.0000, 12.1834]], "species": ["Ca", "Ca", "Ho", "Mg", "Mg", "Mg"], "frac_coords": [[0.0000, 0.0000, 0.1736], [0.0000, 0.0000, 0.8264], [0.0000, 0.0000, 0.5000], [0.5000, 0.5000, 0.0000], [0.5000, 0.5000, 0.3457], [0.5000, 0.5000, 0.6543]]}


Record 5
{"formula": "CaHoMg", "functional": "PBE", "state": "relaxed", "dft_energy_ev_per_cell": -16.55, "space_group": "P4/nmm, No. 129", "dos_at_fermi_per_ev_cell": 8.10, "lattice": [[3.7323, 0.0000, 0.0000], [0.0000, 3.7323, 0.0000], [0.0000, 0.0000, 13.5253]], "species": ["Ca", "Ca", "Ho", "Ho", "Mg", "Mg"], "frac_coords": [[0.2500, 0.2500, 0.1086], [0.7500, 0.7500, 0.8914], [0.2500, 0.2500, 0.4156], [0.7500, 0.7500, 0.5844], [0.2500, 0.2500, 0.7315], [0.7500, 0.7500, 0.2685]]}


Record 6
{"formula": "CaHo3Mg6", "functional": "PBE", "state": "relaxed", "dft_energy_ev_per_cell": -51.63, "space_group": "P2_1/m, No. 11", "dos_at_fermi_per_ev_cell": 17.86, "lattice": [[9.2675, 0.0000, 0.0000], [0.0000, 5.3249, 0.0000], [-3.1294, 0.0000, 10.8970]], "species": ["Ca", "Ca", "Ho", "Ho", "Ho", "Ho", "Ho", "Ho", "Mg", "Mg", "Mg", "Mg", "Mg", "Mg", "Mg", "Mg", "Mg", "Mg", "Mg", "Mg"], "frac_coords": [[0.0518, 0.2500, 0.3944], [0.9482, 0.7500, 0.6056], [0.2536, 0.2500, 0.9961], [0.3569, 0.7500, 0.8022], [0.4591, 0.2500, 0.6049], [0.5409, 0.7500, 0.3951], [0.6431, 0.2500, 0.1978], [0.7464, 0.7500, 0.0039], [0.0502, 0.7500, 0.9073], [0.1465, 0.7500, 0.1962], [0.1538, 0.2500, 0.7022], [0.2527, 0.7500, 0.4987], [0.3436, 0.2500, 0.2930], [0.4401, 0.7500, 0.1010], [0.5599, 0.2500, 0.8990], [0.6564, 0.7500, 0.7070], [0.7473, 0.2500, 0.5013], [0.8462, 0.7500, 0.2978], [0.8535, 0.2500, 0.8038], [0.9498, 0.2500, 0.0927]]}


Number 1: M_tot 0.00 μB/f.u.. Number 2: M_tot 0.00 μB/f.u.. Number 3: M_tot 0.27 μB/f.u.. Number 4: M_tot 0.16 μB/f.u.. Number 5: M_tot 0.00 μB/f.u.. Number 6: M_tot 0.01 μB/f.u..